*A*
The following is a PBE calculation of NaPrC2O6 after structural relaxation, from the Alexandria database.

The structure belongs to space group C2/c (No. 15); the cell edges are 7.694, 10.426 and 7.244 Å and the angles 90.00°, 106.74° and 90.00°. The inequivalent atoms are Na at (0.000, 0.100, 0.250), Pr at (0.000, 0.416, 0.750), C at (0.229, 0.357, 0.245), O at (0.090, 0.389, 0.097), O at (0.198, 0.052, 0.636) and O at (0.221, 0.261, 0.734).

The value obtained for the total magnetization is 0.000 μB per cell. As for the volume: 139.1 Å³/f.u. The value obtained for the density of states at the Fermi level is 0.00 states/eV per cell.

***

*B*
The following is a PBE calculation of NaPrC2O6 after structural relaxation, from the Alexandria database.

The structure belongs to space group Pmc2_1 (No. 26); the cell edges are 5.190, 6.470 and 7.200 Å and the angles 90.00°, 90.00° and 90.00°. The inequivalent atoms are Na at (0.000, 0.024, 0.000), Pr at (0.500, 0.366, 0.301), C at (0.000, 0.470, 0.972), C at (0.500, 0.084, 0.715), O at (0.000, 0.355, 0.385), O at (0.220, 0.383, 0.010), O at (0.288, 0.012, 0.252) and O at (0.500, 0.267, 0.638).

The value obtained for the total magnetization is 0.000 μB per cell. As for the volume: 120.9 Å³/f.u. The value obtained for the density of states at the Fermi level is 0.00 states/eV per cell.

***

We find *B* to be the most stable, with the next structure 0.030 eV/atom higher.